# 1
{
  "formula": "MnCuI4",
  "functional": "PBE",
  "state": "optimized geometry",
  "lattice_angstrom": [[8.181, -3.741, 0.000], [8.181, 3.741, 0.000], [-0.340, 0.000, 7.369]],
  "species": ["Mn", "Mn", "Cu", "Cu", "I", "I", "I", "I", "I", "I", "I", "I"],
  "frac_coords": [[0.000, 0.500, 0.000], [0.500, 0.000, 0.500], [0.002, 0.998, 0.250], [0.998, 0.002, 0.750], [0.106, 0.740, 0.992], [0.211, 0.360, 0.320], [0.260, 0.894, 0.508], [0.360, 0.211, 0.820], [0.640, 0.789, 0.180], [0.740, 0.106, 0.492], [0.789, 0.640, 0.680], [0.894, 0.260, 0.008]],
  "e_form_raw_ev_per_atom": -0.221,
  "vol_a3_per_atom": 37.59,
  "spacegroup": "C2/c (15)",
  "total_energy_ev_per_atom": -3.47
}

=====

# 2
{
  "formula": "ThTl",
  "functional": "PBE",
  "state": "optimized geometry",
  "lattice_angstrom": [[10.950, 0.000, 0.000], [0.000, 9.995, 0.000], [0.000, 0.000, 6.571]],
  "species": ["Th", "Th", "Th", "Th", "Th", "Th", "Th", "Th", "Th", "Th", "Th", "Th", "Tl", "Tl", "Tl", "Tl", "Tl", "Tl", "Tl", "Tl", "Tl", "Tl", "Tl", "Tl"],
  "frac_coords": [[0.111, 0.250, 0.000], [0.111, 0.250, 0.500], [0.182, 0.628, 0.250], [0.182, 0.872, 0.750], [0.385, 0.037, 0.250], [0.385, 0.463, 0.750], [0.615, 0.537, 0.250], [0.615, 0.963, 0.750], [0.818, 0.128, 0.250], [0.818, 0.372, 0.750], [0.889, 0.750, 0.000], [0.889, 0.750, 0.500], [0.094, 0.552, 0.750], [0.094, 0.948, 0.250], [0.354, 0.127, 0.750], [0.354, 0.373, 0.250], [0.419, 0.750, 0.000], [0.419, 0.750, 0.500], [0.581, 0.250, 0.000], [0.581, 0.250, 0.500], [0.646, 0.627, 0.750], [0.646, 0.873, 0.250], [0.906, 0.052, 0.750], [0.906, 0.448, 0.250]],
  "vol_a3_per_atom": 29.97,
  "ef_ev_per_atom": -0.148,
  "spacegroup": "Pbcm (57)",
  "total_energy_ev_per_atom": -5.04
}

=====

# 3
{
  "formula": "Eu2YTl",
  "functional": "PBE",
  "state": "optimized geometry",
  "lattice_angstrom": [[1.826, 1.054, 12.228], [-1.826, 1.054, 12.228], [0.000, -2.108, 12.228]],
  "species": ["Eu", "Eu", "Y", "Tl"],
  "frac_coords": [[0.094, 0.094, 0.094], [0.906, 0.906, 0.906], [0.000, 0.000, 0.000], [0.500, 0.500, 0.500]],
  "vol_a3_per_atom": 35.29,
  "ef_ev_per_atom": 0.079,
  "spacegroup": "R-3m (166)",
  "polymorph_energy_mev_per_atom": 232.1,
  "total_energy_ev_per_atom": -7.27
}

=====

# 4
{
  "formula": "NdSm2Tm3",
  "functional": "PBE",
  "state": "optimized geometry",
  "lattice_angstrom": [[4.473, -4.899, 0.000], [4.473, 4.899, 0.000], [-1.823, 0.000, 8.764]],
  "species": ["Nd", "Nd", "Sm", "Sm", "Sm", "Sm", "Tm", "Tm", "Tm", "Tm", "Tm", "Tm"],
  "frac_coords": [[0.086, 0.914, 0.750], [0.914, 0.086, 0.250], [0.130, 0.624, 0.374], [0.376, 0.870, 0.126], [0.624, 0.130, 0.874], [0.870, 0.376, 0.626], [0.166, 0.333, 0.998], [0.333, 0.166, 0.498], [0.419, 0.581, 0.750], [0.581, 0.419, 0.250], [0.667, 0.834, 0.502], [0.834, 0.667, 0.002]],
  "vol_a3_per_atom": 32.01,
  "ef_ev_per_atom": 0.071,
  "spacegroup": "C2/c (15)",
  "polymorph_energy_mev_per_atom": 0.0,
  "total_energy_ev_per_atom": -4.53
}

=====

# 5
{
  "formula": "IrAuSe4",
  "functional": "PBE",
  "state": "optimized geometry",
  "lattice_angstrom": [[4.929, 0.000, 0.000], [0.000, 3.786, 0.000], [-0.163, 0.000, 7.300]],
  "species": ["Ir", "Au", "Se", "Se", "Se", "Se"],
  "frac_coords": [[0.000, 0.000, 0.000], [0.000, 0.500, 0.500], [0.207, 0.000, 0.316], [0.296, 0.500, 0.896], [0.704, 0.500, 0.104], [0.793, 0.000, 0.684]],
  "e_form_raw_ev_per_atom": -0.242,
  "vol_a3_per_atom": 22.70,
  "spacegroup": "P2/m (10)",
  "polymorph_energy_mev_per_atom": 0.0,
  "total_energy_ev_per_atom": -4.59
}

=====

# 6
{
  "formula": "AcOs2O7",
  "functional": "PBE",
  "state": "optimized geometry",
  "lattice_angstrom": [[3.167, -5.108, 0.000], [3.167, 5.108, 0.000], [0.000, 0.000, 3.810]],
  "species": ["Ac", "Os", "Os", "O", "O", "O", "O", "O", "O", "O"],
  "frac_coords": [[0.000, 0.000, 0.000], [0.316, 0.684, 0.500], [0.684, 0.316, 0.500], [0.043, 0.327, 0.500], [0.302, 0.698, 0.000], [0.327, 0.043, 0.500], [0.500, 0.500, 0.500], [0.673, 0.957, 0.500], [0.698, 0.302, 0.000], [0.957, 0.673, 0.500]],
  "e_form_raw_ev_per_atom": -1.488,
  "vol_a3_per_atom": 12.33,
  "spacegroup": "Cmmm (65)",
  "total_energy_ev_per_atom": -7.62
}

=====

# 7
{
  "formula": "DyTm7Mg2",
  "functional": "PBE",
  "state": "optimized geometry",
  "lattice_angstrom": [[4.367, -8.142, 0.000], [4.367, 8.142, 0.000], [0.000, 0.000, 5.137]],
  "species": ["Dy", "Tm", "Tm", "Tm", "Tm", "Tm", "Tm", "Tm", "Mg", "Mg"],
  "frac_coords": [[0.000, 0.000, 0.000], [0.070, 0.293, 0.500], [0.207, 0.793, 0.000], [0.293, 0.070, 0.500], [0.500, 0.500, 0.500], [0.707, 0.930, 0.500], [0.793, 0.207, 0.000], [0.930, 0.707, 0.500], [0.300, 0.700, 0.500], [0.700, 0.300, 0.500]],
  "vol_a3_per_atom": 36.53,
  "ef_ev_per_atom": 0.596,
  "spacegroup": "Cmmm (65)",
  "total_energy_ev_per_atom": -3.31
}

=====

# 8
{
  "formula": "YHf2Mn",
  "functional": "PBE",
  "state": "optimized geometry",
  "lattice_angstrom": [[0.000, 3.421, 3.421], [3.421, 0.000, 3.421], [3.421, 3.421, 0.000]],
  "species": ["Y", "Hf", "Hf", "Mn"],
  "frac_coords": [[0.000, 0.000, 0.000], [0.250, 0.250, 0.250], [0.750, 0.750, 0.750], [0.500, 0.500, 0.500]],
  "vol_a3_per_atom": 20.01,
  "ef_ev_per_atom": 0.416,
  "spacegroup": "Fm-3m (225)",
  "polymorph_energy_mev_per_atom": 368.4,
  "total_energy_ev_per_atom": -8.47
}